Density functional theory data (PBE) for ZrBe4 after structural relaxation.

Crystal system: cubic
M_tot, Bohr magnetons per cell: 0.00
Space group: Pm-3m, No. 221
DFT total energy, eV per atom: -2.5737
Polymorph energy (0 for the lowest one), eV per atom: 2.3179
ΔE_f, eV per atom: 2.12

```
5
Lattice="4.634 0.000 0.000 0.000 4.634 0.000 0.000 0.000 4.634" Properties=species:S:1:pos:R:3 pbc="T T T"
Be 2.317 0.000 2.317
Be 0.000 0.000 0.000
Be 0.000 2.317 2.317
Be 2.317 2.317 0.000
Zr 2.317 2.317 2.317
```